Record 1
VASP calculation (PBE-GGA) on a geometry-optimized ZnNiRu2C structure.

Output
DOS at the Fermi energy = 5.78 states/eV/cell

abc: 4.045 4.045 3.755
angles: 90.00 90.00 90.00
Element x y z (fractional)
Ru 0.000 0.500 0.000
Ru 0.500 0.000 0.000
Zn 0.500 0.500 0.500
C 0.000 0.000 0.000
Ni 0.000 0.000 0.500

---

Record 2
VASP calculation (PBE-GGA) on a geometry-optimized ZnNi2RuC structure.

Output
DOS at the Fermi energy = 1.62 states/eV/cell

abc: 3.793 3.793 3.984
angles: 90.00 90.00 90.00
Element x y z (fractional)
Ru 0.000 0.000 0.500
Zn 0.500 0.500 0.500
C 0.000 0.000 0.000
Ni 0.000 0.500 0.000
Ni 0.500 0.000 0.000

---

Ordered formation energy results: 0.111, -0.034; unit eV per atom.
Ordered raw total energy results: -6.855, -6.301; unit eV per atom.